1.
This record from Alexandria via LeMat-Bulk describes crystalline TlPbO3 at its relaxed geometry. The functional is PBE.

As for the electronic total energy: -49.43 eV/cell. The value obtained for the calculated density is 9.6 g/cm3. Its uncorrected formation energy is -753 meV per atom.

a b c (Å): 6.213 6.213 6.213
angles (deg): 57.25 57.25 57.25
Element x y z (fractional)
Tl: 0.141 0.141 0.141
Tl: 0.859 0.859 0.859
Pb: 0.360 0.360 0.360
Pb: 0.640 0.640 0.640
O: 0.039 0.457 0.754
O: 0.246 0.961 0.543
O: 0.457 0.754 0.039
O: 0.543 0.246 0.961
O: 0.754 0.039 0.457
O: 0.961 0.543 0.246

2.
This record from Alexandria via LeMat-Bulk describes crystalline BaCd6In6 at its relaxed geometry. The functional is PBE.

As for the electronic total energy: -25.33 eV/cell. The value obtained for the calculated density is 7.3 g/cm3. The energy of formation from the pure elements comes out at -0.115 eV per atom.

a b c (Å): 8.070 8.070 8.070
angles (deg): 135.16 98.53 98.20
Element x y z (fractional)
Ba: 0.000 0.000 0.000
Cd: 0.000 0.000 0.500
Cd: 0.000 0.500 0.000
Cd: 0.220 0.500 0.720
Cd: 0.500 0.000 0.000
Cd: 0.500 0.500 0.500
Cd: 0.780 0.500 0.280
In: 0.202 0.702 0.500
In: 0.352 0.352 0.000
In: 0.353 0.000 0.353
In: 0.647 0.000 0.647
In: 0.648 0.648 0.000
In: 0.798 0.298 0.500